No. 1
{
  "formula": "KReSe4",
  "functional": "PBE",
  "state": "optimized geometry",
  "dos_at_fermi_per_ev_cell": 1.728,
  "sg": "F-43m",
  "dft_energy_ev_per_atom": -3.67,
  "raw_formation_energy_ev_per_atom": 0.915,
  "density_g_cm3": 6.15,
  "cell": [[0.000, 4.181, 4.181], [4.181, 0.000, 4.181], [4.181, 4.181, 0.000]],
  "species": ["K", "Re", "Se", "Se", "Se", "Se"],
  "frac_coords": [[0.000, 0.000, 0.000], [0.750, 0.750, 0.750], [0.376, 0.376, 0.376], [0.376, 0.376, 0.871], [0.376, 0.871, 0.376], [0.871, 0.376, 0.376]]
}

No. 2
{
  "formula": "TaAlRe2",
  "functional": "PBE",
  "state": "optimized geometry",
  "ef_ev_per_atom": -0.09,
  "dos_at_fermi_per_ev_cell": 2.781,
  "sg": "Pmm2",
  "dft_energy_ev_per_atom": -10.21,
  "density_g_cm3": 15.40,
  "cell": [[2.845, 0.000, 0.000], [0.000, 4.085, 0.000], [0.000, 0.000, 5.385]],
  "species": ["Ta", "Al", "Re", "Re"],
  "frac_coords": [[0.000, 0.000, 0.000], [0.500, 0.500, 0.256], [0.000, 0.000, 0.499], [0.500, 0.500, 0.740]]
}

No. 3
{
  "formula": "SiAs2P",
  "functional": "PBE",
  "state": "optimized geometry",
  "dos_at_fermi_per_ev_cell": 2.995,
  "sg": "Fm-3m",
  "dft_energy_ev_per_atom": -4.44,
  "raw_formation_energy_ev_per_atom": 0.591,
  "density_g_cm3": 5.15,
  "cell": [[0.000, 3.230, 3.230], [3.230, 0.000, 3.230], [3.230, 3.230, 0.000]],
  "species": ["Si", "As", "As", "P"],
  "frac_coords": [[0.000, 0.000, 0.000], [0.250, 0.250, 0.250], [0.750, 0.750, 0.750], [0.500, 0.500, 0.500]]
}

No. 4
{
  "formula": "CsCdPtBr6",
  "functional": "PBE",
  "state": "optimized geometry",
  "sg": "C2",
  "dft_energy_ev_per_atom": -2.75,
  "raw_formation_energy_ev_per_atom": -0.765,
  "density_g_cm3": 4.34,
  "cell": [[3.638, -5.916, 0.000], [3.638, 5.916, 0.000], [-0.413, 0.000, 8.180]],
  "species": ["Cs", "Cd", "Pt", "Br", "Br", "Br", "Br", "Br", "Br"],
  "frac_coords": [[0.000, 0.000, 0.000], [0.326, 0.674, 0.500], [0.672, 0.328, 0.500], [0.383, 0.344, 0.323], [0.391, 0.014, 0.706], [0.651, 0.016, 0.325], [0.656, 0.617, 0.677], [0.984, 0.349, 0.675], [0.986, 0.609, 0.294]]
}

No. 5
{
  "formula": "K3CuAg2Cl9",
  "functional": "PBE",
  "state": "optimized geometry",
  "dos_at_fermi_per_ev_cell": 5.122,
  "sg": "P-3m1",
  "dft_energy_ev_per_atom": -3.03,
  "raw_formation_energy_ev_per_atom": -1.045,
  "density_g_cm3": 3.10,
  "cell": [[7.111, 0.000, 0.000], [-3.556, 6.159, 0.000], [0.000, 0.000, 8.740]],
  "species": ["K", "K", "K", "Cu", "Ag", "Ag", "Cl", "Cl", "Cl", "Cl", "Cl", "Cl", "Cl", "Cl", "Cl"],
  "frac_coords": [[0.000, 0.000, 0.000], [0.333, 0.667, 0.667], [0.667, 0.333, 0.333], [0.000, 0.000, 0.500], [0.333, 0.667, 0.174], [0.667, 0.333, 0.826], [0.000, 0.500, 0.000], [0.160, 0.320, 0.342], [0.160, 0.840, 0.342], [0.320, 0.160, 0.658], [0.500, 0.000, 0.000], [0.500, 0.500, 0.000], [0.680, 0.840, 0.342], [0.840, 0.160, 0.658], [0.840, 0.680, 0.658]]
}

No. 6
{
  "formula": "PrSm2TaN4",
  "functional": "PBE",
  "state": "optimized geometry",
  "dos_at_fermi_per_ev_cell": 5.153,
  "sg": "Cmcm",
  "dft_energy_ev_per_atom": -8.61,
  "raw_formation_energy_ev_per_atom": -1.190,
  "density_g_cm3": 8.55,
  "cell": [[1.735, -6.122, 0.000], [1.735, 6.122, 0.000], [0.000, 0.000, 12.401]],
  "species": ["Pr", "Pr", "Sm", "Sm", "Sm", "Sm", "Ta", "Ta", "N", "N", "N", "N", "N", "N", "N", "N"],
  "frac_coords": [[0.099, 0.901, 0.750], [0.901, 0.099, 0.250], [0.370, 0.630, 0.534], [0.370, 0.630, 0.966], [0.630, 0.370, 0.034], [0.630, 0.370, 0.466], [0.163, 0.837, 0.250], [0.837, 0.163, 0.750], [0.000, 0.000, 0.000], [0.000, 0.000, 0.500], [0.262, 0.738, 0.128], [0.262, 0.738, 0.372], [0.434, 0.566, 0.750], [0.566, 0.434, 0.250], [0.738, 0.262, 0.628], [0.738, 0.262, 0.872]]
}

No. 7
{
  "formula": "TlSiPb2O4",
  "functional": "PBE",
  "state": "optimized geometry",
  "dos_at_fermi_per_ev_cell": 1.217,
  "sg": "Fmm2",
  "dft_energy_ev_per_atom": -5.86,
  "raw_formation_energy_ev_per_atom": -1.475,
  "density_g_cm3": 8.06,
  "cell": [[0.000, 4.473, 4.970], [3.294, 0.000, 4.970], [3.294, 4.473, 0.000]],
  "species": ["Tl", "Si", "Pb", "Pb", "O", "O", "O", "O"],
  "frac_coords": [[0.000, 0.000, 0.000], [0.440, 0.440, 0.560], [0.217, 0.217, 0.283], [0.717, 0.717, 0.783], [0.133, 0.549, 0.867], [0.377, 0.685, 0.315], [0.549, 0.133, 0.451], [0.685, 0.377, 0.623]]
}

No. 8
{
  "formula": "ZrCoHg2",
  "functional": "PBE",
  "state": "optimized geometry",
  "ef_ev_per_atom": 0.12,
  "dos_at_fermi_per_ev_cell": 3.105,
  "sg": "Imm2",
  "dft_energy_ev_per_atom": -3.94,
  "density_g_cm3": 11.92,
  "cell": [[-1.719, 2.436, 4.583], [1.719, -2.436, 4.583], [1.719, 2.436, -4.583]],
  "species": ["Zr", "Co", "Hg", "Hg"],
  "frac_coords": [[0.000, 0.000, 0.000], [0.198, 0.698, 0.500], [0.436, 0.436, 0.000], [0.716, 0.216, 0.500]]
}

No. 9
{
  "formula": "LiTaRe2",
  "functional": "PBE",
  "state": "optimized geometry",
  "ef_ev_per_atom": 0.24,
  "dos_at_fermi_per_ev_cell": 2.329,
  "sg": "Pmm2",
  "dft_energy_ev_per_atom": -9.43,
  "density_g_cm3": 15.21,
  "cell": [[2.772, 0.000, 0.000], [0.000, 4.071, 0.000], [0.000, 0.000, 5.421]],
  "species": ["Li", "Ta", "Re", "Re"],
  "frac_coords": [[0.000, 0.000, 0.000], [0.500, 0.500, 0.757], [0.000, 0.000, 0.478], [0.500, 0.500, 0.265]]
}

No. 10
{
  "formula": "NaTl8Sb2",
  "functional": "PBE",
  "state": "optimized geometry",
  "dos_at_fermi_per_ev_cell": 4.230,
  "sg": "C2/m",
  "dft_energy_ev_per_atom": -2.63,
  "raw_formation_energy_ev_per_atom": -0.036,
  "density_g_cm3": 9.05,
  "cell": [[9.510, -2.381, 0.000], [9.510, 2.381, 0.000], [-2.775, 0.000, 7.704]],
  "species": ["Na", "Tl", "Tl", "Tl", "Tl", "Tl", "Tl", "Tl", "Tl", "Sb", "Sb"],
  "frac_coords": [[0.000, 0.000, 0.000], [0.094, 0.094, 0.456], [0.169, 0.169, 0.934], [0.328, 0.328, 0.745], [0.462, 0.462, 0.270], [0.538, 0.538, 0.730], [0.672, 0.672, 0.255], [0.831, 0.831, 0.066], [0.906, 0.906, 0.544], [0.301, 0.301, 0.321], [0.699, 0.699, 0.679]]
}

No. 11
{
  "formula": "LaPbSe",
  "functional": "PBE",
  "state": "optimized geometry",
  "dos_at_fermi_per_ev_cell": 3.079,
  "sg": "P3m1",
  "dft_energy_ev_per_atom": -4.75,
  "raw_formation_energy_ev_per_atom": -0.709,
  "density_g_cm3": 6.79,
  "cell": [[4.138, 0.000, 0.000], [-2.069, 3.584, 0.000], [0.000, 0.000, 7.008]],
  "species": ["La", "Pb", "Se"],
  "frac_coords": [[0.000, 0.000, 0.000], [0.667, 0.333, 0.379], [0.333, 0.667, 0.763]]
}

No. 12
{
  "formula": "NdCu9Sn2",
  "functional": "PBE",
  "state": "optimized geometry",
  "ef_ev_per_atom": -0.11,
  "dos_at_fermi_per_ev_cell": 6.536,
  "sg": "R-3m",
  "dft_energy_ev_per_atom": -4.24,
  "density_g_cm3": 8.53,
  "cell": [[2.566, 1.481, 8.138], [-2.566, 1.481, 8.138], [0.000, -2.962, 8.138]],
  "species": ["Nd", "Cu", "Cu", "Cu", "Cu", "Cu", "Cu", "Cu", "Cu", "Cu", "Sn", "Sn"],
  "frac_coords": [[0.000, 0.000, 0.000], [0.081, 0.586, 0.586], [0.334, 0.334, 0.334], [0.414, 0.414, 0.919], [0.414, 0.919, 0.414], [0.500, 0.500, 0.500], [0.586, 0.081, 0.586], [0.586, 0.586, 0.081], [0.666, 0.666, 0.666], [0.919, 0.414, 0.414], [0.140, 0.140, 0.140], [0.860, 0.860, 0.860]]
}